VASP calculation (PBE) on a relaxed structure of Al2Tc2Ir.

Unit cell a=6.600 b=6.600 c=3.313 alpha=90.00 beta=90.00 gamma=90.00
Sites, in units of the cell vectors:
1 Al 0.135 0.365 0.000
2 Al 0.365 0.865 0.000
3 Al 0.635 0.135 0.000
4 Al 0.865 0.635 0.000
5 Tc 0.167 0.667 0.500
6 Tc 0.333 0.167 0.500
7 Tc 0.667 0.833 0.500
8 Tc 0.833 0.333 0.500
9 Ir 0.000 0.000 0.000
10 Ir 0.500 0.500 0.000

Total moment: 0.072 μB/atom
DOS(E_F): 9.48 states/eV per cell
E above lowest polymorph: 0.000 eV per atom
ΔE_f: -2.84 kcal/mol of atoms